4
Lattice="4.5972 -0.0013 -0.0044 -2.2984 3.9814 0.0044 -2.2934 -1.3293 7.4888" Properties=species:S:1:pos:R:3 comment="AcDySb2 (GGA-PBE, optimized geometry)" polymorph_energy_mev_per_atom=0 formation_energy_uncorrected_kj_per_mol_fu=-445 pbc="T T T"
Sb 0.0014 2.6531 1.6982
Sb 0.0040 -0.0023 5.7907
Dy 2.3036 -1.3305 7.4844
Ac -2.2958 1.3260 3.7467